# 1
BaHoMg2, optimized geometry, DFT PBE; total moment = 0.1 μB/f.u.; symmetry = P4/mmm, No. 123; formation energy from the elements = -19 meV/atom
1.0
-1.397 0.744 -3.655
-1.247 -3.771 -0.291
-7.400 2.194 3.274
Mg Ho Ba
2 1 1
Cartesian
-5.895 1.747 2.608 Mg
-1.505 0.446 0.666 Mg
-1.322 -1.514 -1.973 Ho
-5.022 -0.417 -0.336 Ba

# 2
BaHoMg, optimized geometry, DFT PBE; total moment = 0.0 μB/f.u.; symmetry = I4mm, No. 107; formation energy from the elements = 96 meV/atom
1.0
-1.768 2.093 2.919
-3.440 -1.924 -0.703
4.388 -4.939 3.452
Mg Ho Ba
1 1 1
Cartesian
-1.938 -1.728 2.811 Mg
1.078 -2.934 2.757 Ho
0.040 -0.108 0.101 Ba

# 3
BaHo4Mg5, optimized geometry, DFT PBE; total moment = 0.0 μB/f.u.; symmetry = P4/mmm, No. 123; formation energy from the elements = -53 meV/atom
1.0
-3.249 1.932 0.536
-0.622 0.000 -3.767
-10.023 -17.314 1.653
Ba Ho Mg
1 4 5
Cartesian
0.000 0.000 0.000 Ba
-2.259 -3.903 0.373 Ho
-4.086 -7.058 0.674 Ho
-5.937 -10.256 0.979 Ho
-7.764 -13.411 1.280 Ho
-3.240 -1.288 -1.400 Mg
-5.098 -4.497 -1.094 Mg
-6.947 -7.691 -0.789 Mg
-8.795 -10.885 -0.484 Mg
-10.653 -14.094 -0.177 Mg

# 4
BaHoMg2, optimized geometry, DFT PBE; total moment = 0.0 μB/f.u.; symmetry = R-3m, No. 166; formation energy from the elements = 150 meV/atom
1.0
3.673 0.000 0.000
1.836 3.181 0.000
1.836 1.060 11.382
Mg Ho Ba
2 1 1
Cartesian
5.509 3.181 8.777 Mg
1.836 1.060 2.605 Mg
0.000 0.000 0.000 Ho
3.673 2.121 5.691 Ba